1.
The following is a PBE calculation of P2AuN after structural relaxation, from the Alexandria database.

Output
electronic total energy: -5.02 eV per atom
DOS(E_F): 3.32 states/eV/cell

Unit cell a=5.1053 b=5.1053 c=9.7841 alpha=90.00 beta=90.00 gamma=90.00
Closest atoms and distances in Å follow each position.
Space group I-42d (No. 122)
Inequivalent atoms, fractional coordinates:
P1 0.1769 0.2500 0.1250 [8 per cell]  2 N 1.99
Au1 0.0000 0.0000 0.5000 [4 per cell]  4 P 2.42
N1 0.0000 0.0000 0.0000 [4 per cell]  4 P 1.99



2.
The following is a PBE calculation of P2Au2N after structural relaxation, from the Alexandria database.

Output
DOS(E_F): 5.84 states/eV/cell
E above lowest polymorph: 0.238 eV per atom

Unit cell a=3.2023 b=3.2023 c=15.2300 alpha=90.00 beta=90.00 gamma=90.00
Closest atoms and distances in Å follow each position.
Space group I4/mmm (No. 139)
Inequivalent atoms, fractional coordinates:
P1 0.0000 0.5000 0.2500 [4 per cell]  4 P 2.26
Au1 0.0000 0.0000 0.0901 [4 per cell]  4 N 2.65, 1 Au 2.75, 4 P 2.91
N1 0.0000 0.0000 0.5000 [2 per cell]  8 Au 2.65



3.
The following is a PBE calculation of P2Au2N after structural relaxation, from the Alexandria database.

Output
DOS(E_F): 4.29 states/eV/cell
E above lowest polymorph: 0.000 eV per atom

Unit cell a=6.1914 b=6.1914 c=4.6901 alpha=90.00 beta=90.00 gamma=90.00
Closest atoms and distances in Å follow each position.
Space group P4/mbm (No. 127)
Inequivalent atoms, fractional coordinates:
P1 0.1178 0.3822 0.0000 [4 per cell]  1 P 2.06
Au1 0.1991 0.3009 0.5000 [4 per cell]  2 N 2.23, 2 P 2.45
N1 0.0000 0.0000 0.5000 [2 per cell]  4 Au 2.23



4.
The following is a PBE calculation of Pa2P2AuN2 after structural relaxation, from the Alexandria database.

Output
electronic total energy: -8.05 eV per atom
DOS(E_F): 7.42 states/eV/cell

Unit cell a=3.9425 b=3.9425 c=10.7695 alpha=90.00 beta=90.00 gamma=120.00
Closest atoms and distances in Å follow each position.
Space group P-3m1 (No. 164)
Inequivalent atoms, fractional coordinates:
Pa1 0.3333 0.6667 0.1351 [2 per cell]  4 N 2.27-2.37
P1 0.0000 0.0000 0.2870 [2 per cell]  1 Au 2.29
Au1 0.0000 0.0000 0.5000 [1 per cell]  2 P 2.29
N1 0.3333 0.6667 0.9247 [2 per cell]  4 Pa 2.27-2.37



5.
The following is a PBE calculation of Pa2P2AuN6 after structural relaxation, from the Alexandria database.

Output
electronic total energy: -8.30 eV per atom
DOS(E_F): 9.29 states/eV/cell

Unit cell a=9.8213 b=6.1585 c=6.6326 alpha=90.00 beta=119.71 gamma=90.00
Closest atoms and distances in Å follow each position.
Space group C2/m (No. 12)
Inequivalent atoms, fractional coordinates:
Pa1 0.1648 0.0000 0.3099 [4 per cell]  6 N 2.22-2.41
P1 0.2132 0.0000 0.7988 [4 per cell]  3 N 1.63-1.64
Au1 0.0000 0.5000 0.0000 [2 per cell]  2 P 2.45
N1 0.1092 0.0000 0.9280 [4 per cell]  1 P 1.63
N2 0.1857 0.2094 0.6303 [8 per cell]  1 P 1.64



6.
The following is a PBE calculation of PaPAuN after structural relaxation, from the Alexandria database.

Output
electronic total energy: -7.65 eV per atom
DOS(E_F): 14.33 states/eV/cell

Unit cell a=3.9722 b=3.9722 c=30.5028 alpha=90.00 beta=90.00 gamma=120.00
Closest atoms and distances in Å follow each position.
Space group R-3m (No. 166, hexagonal axes)
Inequivalent atoms, fractional coordinates:
Pa1 0.0000 0.0000 0.1192 [6 per cell]  4 N 2.24-2.39
P1 0.0000 0.0000 0.3960 [6 per cell]  3 Au 2.49
Au1 0.0000 0.0000 0.3021 [6 per cell]  3 P 2.49
N1 0.0000 0.0000 0.1926 [6 per cell]  4 Pa 2.24-2.39



7.
The following is a PBE calculation of Pa3P4AuN12 after structural relaxation, from the Alexandria database.

Output
electronic total energy: -8.22 eV per atom

Unit cell a=10.9157 b=10.9157 c=8.8442 alpha=90.00 beta=90.00 gamma=120.00
Closest atoms and distances in Å follow each position.
Space group R32 (No. 155, hexagonal axes)
Inequivalent atoms, fractional coordinates:
Pa1 0.0000 0.5425 0.0000 [9 per cell]  6 N 2.20-2.34
P1 0.0000 0.0000 0.5000 [3 per cell]  3 N 1.58
P2 0.0000 0.4562 0.5000 [9 per cell]  3 N 1.58-1.60
Au1 0.0000 0.0000 0.0000 [3 per cell]  6 N 2.79
N1 0.0000 0.6024 0.5000 [9 per cell]  1 P 1.60
N2 0.0000 0.8555 0.5000 [9 per cell]  1 P 1.58
N3 0.0196 0.2098 0.1944 [18 per cell]  1 P 1.58



8.
The following is a PBE calculation of PRuAuN after structural relaxation, from the Alexandria database.

Output
DOS(E_F): 4.69 states/eV/cell
E above lowest polymorph: 0.080 eV per atom

Unit cell a=10.6641 b=2.7905 c=4.5166 alpha=90.00 beta=94.66 gamma=90.00
Closest atoms and distances in Å follow each position.
Space group Cm (No. 8)
Inequivalent atoms, fractional coordinates:
P1 0.0000 0.0000 0.0000 [2 per cell]  1 N 1.62
Ru1 0.0889 0.5000 0.6599 [2 per cell]  2 N 2.00
Au1 0.3045 0.0000 0.8881 [2 per cell]  2 P 2.53, 2 Au 2.79, 2 Ru 2.81
N1 0.0400 0.0000 0.3549 [2 per cell]  1 P 1.62